VASP calculation (PBE) on a relaxed LiGaTc2S crystal.

Cell lengths 4.326, 4.326, 3.928 Å; angles 90.00, 90.00, 90.00 degrees
Space group P4/mmm (No. 123)
One atom of each set of equivalent atoms:
Li 0.000 0.000 0.000
Ga 0.000 0.000 0.500
Tc 0.000 0.500 0.000
S 0.500 0.500 0.500

Values from the calculation:
As for the formation energy (no corrections): 1.17 eV/atom.

=====

VASP calculation (PBE) on a relaxed LiGa2TeS6 crystal.

Cell lengths 12.186, 11.175, 6.667 Å; angles 90.00, 104.86, 90.00 degrees
Space group C2/c (No. 15)
One atom of each set of equivalent atoms:
Li 0.000 0.097 0.250
Ga 0.194 0.405 0.250
Te 0.000 0.244 0.750
S 0.108 0.085 0.631
S 0.130 0.430 0.549
S 0.140 0.222 0.123

Values from the calculation:
As for the formation energy (no corrections): -0.40 eV/atom.

=====

VASP calculation (PBE) on a relaxed Li2GaTeS4 crystal.

Cell lengths 4.882, 5.958, 6.475 Å; angles 107.11, 104.99, 92.30 degrees
Space group P1 (No. 1)
One atom of each set of equivalent atoms:
Li 0.000 0.000 0.000
Li 0.183 0.714 0.536
Ga 0.685 0.215 0.525
Te 0.617 0.489 0.049
S 0.338 0.362 0.287
S 0.537 0.061 0.771
S 0.878 0.923 0.315
S 0.980 0.550 0.784

Values from the calculation:
As for the formation energy (no corrections): -0.63 eV/atom.